Entry from Alexandria: an optimized crystal structure of Rb3CoRh3O8 (PBE with a Hubbard U).

a b c (Å): 7.2306 7.2306 7.2306
angles (deg): 52.29 52.29 52.29
Closest atoms and distances in Å follow each position.
Atoms (fractional coordinates):
Rb (0.0000, 0.5000, 0.5000)  6 O 2.80-2.84
Rb (0.5000, 0.0000, 0.5000)  6 O 2.80-2.84
Rb (0.5000, 0.5000, 0.0000)  6 O 2.80-2.84
Co (0.5000, 0.5000, 0.5000)  6 O 2.12
Rh (0.0000, 0.0000, 0.5000)  6 O 2.06-2.10
Rh (0.0000, 0.5000, 0.0000)  6 O 2.06-2.10
Rh (0.5000, 0.0000, 0.0000)  6 O 2.06-2.10
O (0.2098, 0.7228, 0.7228)  2 Rh 2.06, 1 Co 2.12
O (0.2204, 0.2204, 0.2204)  3 Rh 2.10
O (0.2772, 0.2772, 0.7902)  2 Rh 2.06, 1 Co 2.12
O (0.2772, 0.7902, 0.2772)  2 Rh 2.06, 1 Co 2.12
O (0.7228, 0.2098, 0.7228)  2 Rh 2.06, 1 Co 2.12
O (0.7228, 0.7228, 0.2098)  2 Rh 2.06, 1 Co 2.12
O (0.7796, 0.7796, 0.7796)  3 Rh 2.10
O (0.7902, 0.2772, 0.2772)  2 Rh 2.06, 1 Co 2.12

Properties
ρ: 5.7 Mg/m³
space-group type: R-3m (166)
magnetization: 0.95 μB/f.u.
VASP energy: -0.2071 hartree per atom